No. 1
# ZnCd3Ag12 (PBE-GGA, optimized geometry)
# Calculated formation energy ... -0.33 eV per formula unit
data_ZnCd3Ag12
_space_group_name_H-M_alt 'P 4/m m m'
_space_group_IT_number 123
_space_group_name_Hall '-P 4 2'
_cell_length_a 4.148
_cell_length_b 4.148
_cell_length_c 16.891
_cell_angle_alpha 90.00
_cell_angle_beta 90.00
_cell_angle_gamma 90.00
loop_
_atom_site_label
_atom_site_type_symbol
_atom_site_fract_x
_atom_site_fract_y
_atom_site_fract_z
Zn1 Zn 0.000 0.000 0.000
Cd1 Cd 0.000 0.000 0.246
Cd2 Cd 0.000 0.000 0.500
Ag1 Ag 0.000 0.500 0.118
Ag2 Ag 0.000 0.500 0.373
Ag3 Ag 0.500 0.500 0.000
Ag4 Ag 0.500 0.500 0.245
Ag5 Ag 0.500 0.500 0.500



No. 2
# ZrAlTlS4 (PBE-GGA, optimized geometry)
# Raw formation energy ... -1087.0 meV/atom
data_ZrAlTlS4
_space_group_name_H-M_alt 'P 1 21/m 1'
_space_group_IT_number 11
_cell_length_a 6.313
_cell_length_b 6.655
_cell_length_c 8.848
_cell_angle_alpha 90.00
_cell_angle_beta 109.41
_cell_angle_gamma 90.00
loop_
_space_group_symop_operation_xyz
'x,y,z'
'-x,-y,-z'
'-x,y+1/2,-z'
'x,-y+1/2,z'
loop_
_atom_site_label
_atom_site_type_symbol
_atom_site_fract_x
_atom_site_fract_y
_atom_site_fract_z
Zr1 Zr 0.207 0.250 0.046
Al1 Al 0.247 0.750 0.841
Tl1 Tl 0.272 0.250 0.558
S1 S 0.009 0.501 0.189
S2 S 0.457 0.750 0.684
S3 S 0.494 0.750 0.088



No. 3
# TlHSe (PBE-GGA, optimized geometry)
# Excess energy over the best structure of this formula in the dataset ... 8 meV/atom
data_TlHSe
_space_group_name_H-M_alt 'P -1'
_space_group_IT_number 2
_cell_length_a 4.535
_cell_length_b 4.543
_cell_length_c 9.267
_cell_angle_alpha 95.97
_cell_angle_beta 93.10
_cell_angle_gamma 91.50
loop_
_space_group_symop_operation_xyz
'x,y,z'
'-x,-y,-z'
loop_
_atom_site_label
_atom_site_type_symbol
_atom_site_fract_x
_atom_site_fract_y
_atom_site_fract_z
Tl1 Tl 0.113 0.097 0.311
H1 H 0.499 0.500 0.959
Se1 Se 0.394 0.404 0.603



No. 4
# Sr2GdGa (PBE-GGA, optimized geometry)
# Calculated formation energy ... 0.58 eV per formula unit
data_Sr2GdGa
_space_group_name_H-M_alt 'R -3 m'
_space_group_IT_number 166
_space_group_name_Hall '-R 3 2"'
_cell_length_a 3.8235
_cell_length_b 3.8235
_cell_length_c 36.2358
_cell_angle_alpha 90.00
_cell_angle_beta 90.00
_cell_angle_gamma 120.00
loop_
_atom_site_label
_atom_site_type_symbol
_atom_site_fract_x
_atom_site_fract_y
_atom_site_fract_z
Sr1 Sr 0.0000 0.0000 0.1007
Gd1 Gd 0.0000 0.0000 0.0000
Ga1 Ga 0.0000 0.0000 0.5000



No. 5
# PmPr3DyY (PBE-GGA, optimized geometry)
# Calculated formation energy ... 0.64 eV per formula unit
data_PmPr3DyY
_space_group_name_H-M_alt 'C m c m'
_space_group_IT_number 63
_space_group_name_Hall '-C 2c 2'
_cell_length_a 5.927
_cell_length_b 11.692
_cell_length_c 11.965
_cell_angle_alpha 90.00
_cell_angle_beta 90.00
_cell_angle_gamma 90.00
loop_
_atom_site_label
_atom_site_type_symbol
_atom_site_fract_x
_atom_site_fract_y
_atom_site_fract_z
Pm1 Pm 0.000 0.026 0.250
Pr1 Pr 0.000 0.170 0.533
Pr2 Pr 0.000 0.370 0.750
Dy1 Dy 0.000 0.500 0.000
Y1 Y 0.000 0.330 0.250



No. 6
# LaZn3Br (PBE-GGA, optimized geometry)
# Raw formation energy ... 566.6 meV/atom
# Excess energy over the best structure of this formula in the dataset ... 135 meV/atom
data_LaZn3Br
_space_group_name_H-M_alt 'P m -3 m'
_space_group_IT_number 221
_space_group_name_Hall '-P 4 2 3'
_cell_length_a 6.076
_cell_length_b 6.076
_cell_length_c 6.076
_cell_angle_alpha 90.00
_cell_angle_beta 90.00
_cell_angle_gamma 90.00
loop_
_atom_site_label
_atom_site_type_symbol
_atom_site_fract_x
_atom_site_fract_y
_atom_site_fract_z
La1 La 0.000 0.000 0.000
Zn1 Zn 0.000 0.000 0.500
Br1 Br 0.500 0.500 0.500



Computed values of total magnetization (unit: Bohr magnetons per cell) for the preceding records, in sequence: 0.0 0.0 0.0 23.1 0.0 0.0.